Record 1
# LiCd2CuO4 (PBE, relaxed)
data_LiCd2CuO4
_space_group_name_H-M_alt 'P 1 2/m 1'
_space_group_IT_number 10
_cell_length_a 5.906
_cell_length_b 2.993
_cell_length_c 6.108
_cell_angle_alpha 90.00
_cell_angle_beta 115.95
_cell_angle_gamma 90.00
loop_
_space_group_symop_operation_xyz
'x,y,z'
'-x,-y,-z'
'-x,y,-z'
'x,-y,z'
loop_
_atom_site_label
_atom_site_type_symbol
_atom_site_fract_x
_atom_site_fract_y
_atom_site_fract_z
Li1 Li 0.000 0.000 0.000
Cd1 Cd 0.500 0.000 0.500
Cd2 Cd 0.500 0.500 0.000
Cu1 Cu 0.000 0.500 0.500
O1 O 0.193 0.000 0.686
O2 O 0.277 0.500 0.198
# - Volume: 97 Å³/f.u.
# - DOS(E_F): 2.442 states/eV per cell
# - Size of the total moment: 0.00 μB/f.u.
# - Uncorrected formation energy: -7.517 eV/f.u.

***

Record 2
# Li2CdCuO4 (PBE, relaxed)
data_Li2CdCuO4
_space_group_name_H-M_alt 'I -4 2 m'
_space_group_IT_number 121
_space_group_name_Hall 'I -4 2'
_cell_length_a 5.253
_cell_length_b 5.253
_cell_length_c 6.539
_cell_angle_alpha 90.00
_cell_angle_beta 90.00
_cell_angle_gamma 90.00
loop_
_atom_site_label
_atom_site_type_symbol
_atom_site_fract_x
_atom_site_fract_y
_atom_site_fract_z
Li1 Li 0.000 0.500 0.250
Cd1 Cd 0.000 0.000 0.000
Cu1 Cu 0.000 0.000 0.500
O1 O 0.225 0.225 0.616
# - Volume: 90 Å³/f.u.
# - DOS(E_F): 9.620 states/eV per cell
# - Size of the total moment: 0.69 μB/f.u.
# - Uncorrected formation energy: -7.755 eV/f.u.

***

Record 3
# LiCdCu2P (PBE, relaxed)
data_LiCdCu2P
_space_group_name_H-M_alt 'P 4/m m m'
_space_group_IT_number 123
_space_group_name_Hall '-P 4 2'
_cell_length_a 4.334
_cell_length_b 4.334
_cell_length_c 4.225
_cell_angle_alpha 90.00
_cell_angle_beta 90.00
_cell_angle_gamma 90.00
loop_
_atom_site_label
_atom_site_type_symbol
_atom_site_fract_x
_atom_site_fract_y
_atom_site_fract_z
Li1 Li 0.000 0.000 0.000
Cd1 Cd 0.500 0.500 0.500
Cu1 Cu 0.000 0.500 0.000
P1 P 0.000 0.000 0.500
# - Volume: 79 Å³/f.u.
# - DOS(E_F): 1.319 states/eV per cell
# - Size of the total moment: 0.00 μB/f.u.
# - Total DFT energy (no corrections): -2.7993 eV per atom

***

Record 4
# LiPaCdCu (PBE, relaxed)
data_LiPaCdCu
_space_group_name_H-M_alt 'F -4 3 m'
_space_group_IT_number 216
_space_group_name_Hall 'F -4 2 3'
_cell_length_a 6.717
_cell_length_b 6.717
_cell_length_c 6.717
_cell_angle_alpha 90.00
_cell_angle_beta 90.00
_cell_angle_gamma 90.00
loop_
_atom_site_label
_atom_site_type_symbol
_atom_site_fract_x
_atom_site_fract_y
_atom_site_fract_z
Li1 Li 0.000 0.000 0.000
Pa1 Pa 0.250 0.250 0.250
Cd1 Cd 0.250 0.250 0.750
Cu1 Cu 0.000 0.000 0.500
# - Volume: 76 Å³/f.u.
# - DOS(E_F): 18.489 states/eV per cell
# - Size of the total moment: 0.85 μB/f.u.
# - Total DFT energy (no corrections): -3.9301 eV per atom